# K2LiSeF6

A relaxed structure of K2LiSeF6 (GGA-PBE, the Alexandria database).

```
K2LiSeF6
1.0
-0.882 4.480 -3.677
0.355 -0.847 -5.790
-10.526 -1.073 -3.456
F Se K Li
12 2 4 2
direct
0.399 0.399 0.342
0.194 0.718 0.894
0.806 0.806 0.106
0.601 0.139 0.658
0.601 0.601 0.658
0.399 0.861 0.342
0.139 0.601 0.658
0.861 0.399 0.342
0.194 0.194 0.894
0.282 0.806 0.106
0.718 0.194 0.894
0.806 0.282 0.106
0.000 0.000 0.000
0.500 0.500 0.500
0.722 0.722 0.833
0.128 0.128 0.616
0.278 0.278 0.167
0.872 0.872 0.384
0.411 0.411 0.767
0.589 0.589 0.233
```

Values from the calculation:
Calculated volume in Å³/cell: 315.6
Space-group type: R-3m, No. 166
E in eV/atom: -4.113
M_tot in μB/f.u.: 1.000
Formation energy from raw total energies in kJ/mol of formula units: -2153

---

# KLiSiF6

A relaxed structure of KLiSiF6 (GGA-PBE, the Alexandria database).

```
KLiSiF6
1.0
-0.346 -1.946 -5.272
4.465 -2.429 0.604
-4.383 -2.374 1.164
F K Li Si
6 1 1 1
direct
0.675 0.734 0.716
0.675 0.982 0.266
0.325 0.982 0.716
0.325 0.284 0.266
0.325 0.734 0.018
0.675 0.284 0.018
0.000 0.333 0.667
0.500 0.667 0.333
0.500 0.000 0.000
```

Values from the calculation:
Calculated volume in Å³/cell: 127.8
Space-group type: P312, No. 149
E in eV/atom: -5.328
M_tot in μB/f.u.: 0.004
DOS(E_F) in states/eV/f.u.: 0.0
Formation energy from raw total energies in kJ/mol of formula units: -2730

---

# KLiSm2F8

A relaxed structure of KLiSm2F8 (GGA-PBE, the Alexandria database).

```
KLiSm2F8
1.0
-3.228 2.350 0.064
-3.222 -4.386 -2.396
-1.210 -1.858 7.444
Li Sm F K
1 2 8 1
direct
0.000 0.000 0.000
0.500 0.459 0.241
0.500 0.541 0.759
0.500 0.717 0.511
0.001 0.647 0.260
0.498 0.269 0.964
0.500 0.283 0.489
0.001 0.793 0.793
0.999 0.207 0.207
0.502 0.731 0.036
0.999 0.353 0.740
0.000 0.000 0.500
```

Values from the calculation:
Calculated volume in Å³/cell: 183.0
Space-group type: P-1, No. 2
E in eV/atom: -5.959
M_tot in μB/f.u.: 0.000
DOS(E_F) in states/eV/f.u.: 0.0
Formation energy from raw total energies in kJ/mol of formula units: -4254